(1)
A plane-wave DFT calculation with PBE was carried out for a geometry-optimized CePrHo2N4 structure.

Cell and atoms, written as POSCAR:
```
CePrHo2N4
1.0
-1.708 -1.795 -2.526
2.125 -5.261 2.303
-5.349 1.354 2.653
N Pr Ho Ce
4 1 2 1
direct
0.500 0.245 0.257
0.500 0.755 0.743
0.000 0.237 0.741
0.000 0.763 0.259
0.500 0.500 0.000
0.000 0.500 0.500
0.500 0.000 0.500
0.000 0.000 0.000
```

## Properties
As for the space group: P2/m, No. 10. The formation energy (no corrections) comes out at -1.55 eV per atom.

---

(2)
A plane-wave DFT calculation with PBE was carried out for a geometry-optimized Pm2Ho4Zr structure.

Cell and atoms, written as POSCAR:
```
Pm2Ho4Zr
1.0
3.548 0.000 0.000
-1.774 3.061 -0.260
0.000 -0.370 19.856
Pm Ho Zr
2 4 1
direct
0.717 0.434 0.387
0.617 0.235 0.092
0.520 0.040 0.798
0.902 0.803 0.944
0.002 0.004 0.241
0.433 0.867 0.538
0.810 0.620 0.668
```

## Properties
As for the space group: R3m, No. 160. As for the formation energy: 0.0444 eV/atom.

---

(3)
A plane-wave DFT calculation with PBE was carried out for a geometry-optimized ScHAu2Br structure.

Cell and atoms, written as POSCAR:
```
ScHAu2Br
1.0
-2.377 -4.689 0.963
1.307 0.370 5.029
-4.595 2.536 1.008
Sc Br H Au
1 1 1 2
direct
0.000 0.000 0.000
0.000 0.500 0.000
0.500 0.500 0.500
0.500 0.000 0.000
0.000 0.000 0.500
```

## Properties
As for the space group: P4/mmm, No. 123. As for the electronic total energy: -3.276 eV per atom.

---

(4)
A plane-wave DFT calculation with PBE was carried out for a geometry-optimized TiGeAu structure.

Cell and atoms, written as POSCAR:
```
TiGeAu
1.0
2.797 0.794 -0.326
2.023 3.601 -0.072
-0.204 0.356 12.281
Ti Au Ge
2 2 2
direct
0.939 0.701 0.965
0.441 0.950 0.468
0.098 0.122 0.124
0.282 0.529 0.309
0.586 0.377 0.614
0.793 0.274 0.819
```

## Properties
As for the space group: Fmmm, No. 69. As for the formation energy: -0.3500 eV/atom.

---

(5)
A plane-wave DFT calculation with PBE was carried out for a geometry-optimized Y6GaRu2 structure.

Cell and atoms, written as POSCAR:
```
Y6GaRu2
1.0
2.059 8.158 -0.599
2.181 -4.259 -6.947
-8.324 -1.186 0.682
Ru Y Ga
4 12 2
direct
0.500 0.125 0.625
0.500 0.875 0.375
0.324 0.324 0.000
0.676 0.676 0.000
0.099 0.821 0.279
0.901 0.179 0.721
0.196 0.953 0.757
0.688 0.670 0.357
0.312 0.330 0.643
0.688 0.330 0.018
0.804 0.047 0.243
0.196 0.439 0.243
0.312 0.670 0.982
0.458 0.179 0.279
0.804 0.561 0.757
0.542 0.821 0.721
0.000 0.000 0.000
0.000 0.500 0.500
```

## Properties
As for the space group: Immm, No. 71. As for the formation energy: -0.3782 eV/atom.

---

(6)
A plane-wave DFT calculation with PBE was carried out for a geometry-optimized K2TlSi structure.

Cell and atoms, written as POSCAR:
```
K2TlSi
1.0
-1.652 3.256 4.455
1.526 5.550 0.234
-3.964 4.111 -0.751
K Tl Si
2 1 1
direct
0.250 0.250 0.250
0.750 0.750 0.750
0.500 0.500 0.500
0.000 0.000 0.000
```

## Properties
As for the space group: Fm-3m, No. 225. The formation energy (no corrections) comes out at 0.33 eV per atom.